# 1
A relaxed Zr2TcRu crystal. Source: Alexandria, functional PBE.

Unit cell a=3.020 b=4.639 c=5.249 alpha=90.00 beta=102.74 gamma=90.00
Space group Pm (No. 6)
One atom of each set of equivalent atoms:
1 Zr 0.000 0.000 0.000 x1
2 Zr 0.285 0.500 0.713 x1
3 Tc 0.525 0.000 0.496 x1
4 Ru 0.751 0.500 0.220 x1

Computed properties:
N(E_F): 3.3 states/eV/cell
Formation energy from the elements: -66 kJ/mol of formula units

=====

# 2
A relaxed Pu3NpSe4 crystal. Source: Alexandria, functional PBE.

Unit cell a=5.850 b=5.850 c=5.850 alpha=90.00 beta=90.00 gamma=90.00
Space group Pm-3m (No. 221)
One atom of each set of equivalent atoms:
1 Pu 0.000 0.000 0.500 x3
2 Np 0.500 0.500 0.500 x1
3 Se 0.000 0.000 0.000 x1
4 Se 0.000 0.500 0.500 x3

Computed properties:
E_form (uncorrected): -1.403 eV per atom
N(E_F): 36.1 states/eV/cell

=====

# 3
A relaxed ThAlGe2W crystal. Source: Alexandria, functional PBE.

Unit cell a=5.704 b=5.882 c=5.885 alpha=90.00 beta=90.00 gamma=90.00
Space group Pmma (No. 51)
One atom of each set of equivalent atoms:
1 Th 0.250 0.000 0.222 x2
2 Al 0.250 0.500 0.381 x2
3 Ge 0.250 0.228 0.726 x4
4 W 0.000 0.500 0.000 x2

Computed properties:
N(E_F): 4.2 states/eV/cell
Formation energy from the elements: -150 kJ/mol of formula units

=====

# 4
A relaxed Sc2Cd2Pb crystal. Source: Alexandria, functional PBE.

Unit cell a=8.014 b=8.014 c=3.847 alpha=90.00 beta=90.00 gamma=90.00
Space group P4/mbm (No. 127)
One atom of each set of equivalent atoms:
1 Sc 0.155 0.345 0.000 x4
2 Cd 0.142 0.642 0.500 x4
3 Pb 0.000 0.000 0.000 x2

Computed properties:
N(E_F): 8.2 states/eV/cell
Formation energy from the elements: -47 kJ/mol of formula units